## MgMnInO4 (PBE+U)

Data for crystalline MgMnInO4 at its relaxed geometry.

Summary:
The calculation puts the electronic total energy at -6.23 eV per atom.

Cell: 6.090 6.244 8.745 Å, 90.00 90.00 90.00°
Space group Imma (No. 74)
One atom of each set of equivalent atoms:
Mg 0.000 0.250 0.121 (multiplicity 4)
Mn 0.250 0.250 0.750 (multiplicity 4)
In 0.000 0.000 0.500 (multiplicity 4)
O 0.000 0.028 0.751 (multiplicity 8)
O 0.245 0.250 0.520 (multiplicity 8)